1.
6
Lattice="-3.347 -3.042 0.842 3.444 -2.848 3.400 -0.210 4.906 4.321" Properties=species:S:1:pos:R:3 comment="KZnAg | Alexandria via LeMat-Bulk | GGA-PBE | relaxed" e_above_lowest_polymorph_ev_per_fu=0.000 delta_e_f_mev_per_atom=-19 pbc="T T T"
Zn 1.617 1.029 3.861
Zn -0.105 2.453 2.161
K -0.063 -1.316 1.279
K -0.050 0.331 7.284
Ag -1.052 0.461 3.771
Ag 0.939 -1.446 4.793

=====

2.
3
Lattice="3.838 0.000 0.000 0.000 5.300 0.000 0.000 -2.650 4.590" Properties=species:S:1:pos:R:3 comment="CaNdSn | Alexandria via LeMat-Bulk | GGA-PBE | relaxed" delta_e_f_mev_per_atom=-391 pbc="T T T"
Ca 3.552 0.000 0.000
Nd 1.430 0.000 3.060
Sn 2.693 2.650 1.530

=====

3.
10
Lattice="8.536 0.000 0.109 0.000 3.722 0.000 -1.964 0.000 6.534" Properties=species:S:1:pos:R:3 comment="LiCaSeBrF | Alexandria via LeMat-Bulk | GGA-PBE | relaxed" e_above_lowest_polymorph_ev_per_fu=0.000 formation_energy_uncorrected_mev_per_atom=-1955 pbc="T T T"
Se 4.680 1.861 0.244
Se 3.698 0.000 3.511
F 6.745 0.000 2.105
F 5.763 1.861 5.372
Li 2.581 0.000 0.802
Li 1.598 1.861 4.069
Ca 6.343 1.861 3.230
Ca 5.361 0.000 6.497
Br -0.167 0.000 4.761
Br 0.815 1.861 1.494

=====

| no. | total moment (μB per formula unit) | calculated total energy (eV for the cell shown) |
| --- | --- | --- |
| 1 | 0.0 | -10.6 |
| 2 | 0.0 | -11.9 |
| 3 | 0.0 | -41.4 |